Density functional theory data (PBE) for crystalline Hf2N at its relaxed geometry.

Cell lengths 5.444, 5.444, 5.444 Å; angles 60.00, 60.00, 60.00 degrees
Sites, in units of the cell vectors:
Hf  0.000  0.000  0.000
Hf  0.000  0.000  0.500
Hf  0.000  0.500  0.000
Hf  0.500  0.000  0.000
N  0.375  0.375  0.375
N  0.625  0.625  0.625

Symmetry   Fd-3m, No. 227
Total DFT energy (no corrections)   -44.6 eV per cell
Mass density   10.798 g/cm3

***

Density functional theory data (PBE) for crystalline NaHf3N5 at its relaxed geometry.

Cell lengths 5.535, 5.535, 4.439 Å; angles 90.00, 90.00, 120.00 degrees
Sites, in units of the cell vectors:
Na  0.000  0.000  0.000
Hf  0.000  0.500  0.500
Hf  0.500  0.000  0.500
Hf  0.500  0.500  0.500
N  0.000  0.000  0.500
N  0.333  0.667  0.159
N  0.333  0.667  0.841
N  0.667  0.333  0.159
N  0.667  0.333  0.841

Symmetry   P6/mmm, No. 191
Total DFT energy (no corrections)   -74.7 eV per cell
Mass density   8.863 g/cm3

***

Density functional theory data (PBE) for crystalline HfNbNO at its relaxed geometry.

Cell lengths 3.324, 5.903, 5.496 Å; angles 90.00, 90.00, 90.00 degrees
Sites, in units of the cell vectors:
Hf  0.000  0.175  0.000
Hf  0.000  0.825  0.500
Nb  0.500  0.396  0.423
Nb  0.500  0.604  0.923
N  0.000  0.162  0.377
N  0.000  0.838  0.877
O  0.500  0.254  0.792
O  0.500  0.746  0.292

Energy relative to the lowest polymorph listed for this composition   0.104 eV/atom
Symmetry   Pmc2_1, No. 26
Total DFT energy (no corrections)   -79.3 eV per cell
Mass density   9.282 g/cm3

***

Density functional theory data (PBE) for crystalline HfNbNO at its relaxed geometry.

Cell lengths 3.179, 5.872, 5.817 Å; angles 90.00, 90.00, 90.00 degrees
Sites, in units of the cell vectors:
Hf  0.000  0.114  0.000
Hf  0.000  0.886  0.500
Nb  0.500  0.332  0.588
Nb  0.500  0.668  0.088
N  0.500  0.348  0.931
N  0.500  0.652  0.431
O  0.000  0.217  0.353
O  0.000  0.783  0.853

Energy relative to the lowest polymorph listed for this composition   0.153 eV/atom
Symmetry   Pmc2_1, No. 26
Total DFT energy (no corrections)   -78.9 eV per cell
Mass density   9.217 g/cm3

***

Density functional theory data (PBE) for crystalline HfNbNO at its relaxed geometry.

Cell lengths 4.503, 4.503, 4.460 Å; angles 90.00, 90.00, 90.00 degrees
Sites, in units of the cell vectors:
Hf  0.250  0.750  0.000
Hf  0.750  0.250  0.000
Nb  0.250  0.250  0.499
Nb  0.750  0.750  0.501
N  0.250  0.250  0.998
N  0.750  0.750  0.002
O  0.250  0.750  0.500
O  0.750  0.250  0.500

Energy relative to the lowest polymorph listed for this composition   0.181 eV/atom
Symmetry   P4/nmm, No. 129
Total DFT energy (no corrections)   -78.7 eV per cell
Mass density   11.070 g/cm3

***

Density functional theory data (PBE) for crystalline HfNbNO at its relaxed geometry.

Cell lengths 5.220, 6.840, 5.656 Å; angles 90.00, 90.00, 90.00 degrees
Sites, in units of the cell vectors:
Hf  0.173  0.171  0.000
Hf  0.327  0.171  0.500
Hf  0.673  0.829  0.000
Hf  0.827  0.829  0.500
Nb  0.135  0.590  0.140
Nb  0.365  0.590  0.640
Nb  0.635  0.410  0.140
Nb  0.865  0.410  0.640
N  0.001  0.687  0.794
N  0.499  0.687  0.294
N  0.501  0.313  0.794
N  0.999  0.313  0.294
O  0.008  0.916  0.189
O  0.492  0.916  0.689
O  0.508  0.084  0.189
O  0.992  0.084  0.689

Energy relative to the lowest polymorph listed for this composition   0.000 eV/atom
Symmetry   Pca2_1, No. 29
Total DFT energy (no corrections)   -160.2 eV per cell
Mass density   9.912 g/cm3

***

Density functional theory data (PBE) for crystalline HfNbNO at its relaxed geometry.

Cell lengths 6.054, 7.479, 4.694 Å; angles 90.00, 90.00, 90.00 degrees
Sites, in units of the cell vectors:
Hf  0.069  0.131  0.000
Hf  0.431  0.131  0.500
Hf  0.569  0.869  0.000
Hf  0.931  0.869  0.500
Nb  0.143  0.661  0.010
Nb  0.357  0.661  0.510
Nb  0.643  0.339  0.010
Nb  0.857  0.339  0.510
N  0.081  0.129  0.512
N  0.419  0.129  0.012
N  0.581  0.871  0.512
N  0.919  0.871  0.012
O  0.018  0.402  0.094
O  0.482  0.402  0.594
O  0.518  0.598  0.094
O  0.982  0.598  0.594

Energy relative to the lowest polymorph listed for this composition   0.160 eV/atom
Symmetry   Pca2_1, No. 29
Total DFT energy (no corrections)   -157.7 eV per cell
Mass density   9.419 g/cm3

***

Density functional theory data (PBE) for crystalline HfNbNO at its relaxed geometry.

Cell lengths 3.618, 3.618, 7.526 Å; angles 90.00, 90.00, 90.00 degrees
Sites, in units of the cell vectors:
Hf  0.250  0.250  0.152
Hf  0.750  0.750  0.848
Nb  0.250  0.750  0.500
Nb  0.750  0.250  0.500
N  0.250  0.250  0.697
N  0.750  0.750  0.303
O  0.250  0.750  0.000
O  0.750  0.250  0.000

Energy relative to the lowest polymorph listed for this composition   0.319 eV/atom
Symmetry   P4/nmm, No. 129
Total DFT energy (no corrections)   -77.6 eV per cell
Mass density   10.159 g/cm3

***

Density functional theory data (PBE) for crystalline Hf4Nb2P3N3 at its relaxed geometry.

Cell lengths 5.777, 5.777, 12.234 Å; angles 103.59, 103.59, 60.06 degrees
Sites, in units of the cell vectors:
Hf  0.026  0.207  0.102
Hf  0.139  0.300  0.397
Hf  0.207  0.026  0.602
Hf  0.300  0.139  0.897
Hf  0.700  0.861  0.103
Hf  0.793  0.974  0.398
Hf  0.861  0.700  0.603
Hf  0.974  0.793  0.898
Nb  0.377  0.532  0.096
Nb  0.468  0.623  0.404
Nb  0.532  0.377  0.596
Nb  0.623  0.468  0.904
P  0.097  0.903  0.250
P  0.265  0.416  0.748
P  0.416  0.265  0.248
P  0.584  0.735  0.752
P  0.735  0.584  0.252
P  0.903  0.097  0.750
N  0.000  0.500  0.000
N  0.142  0.679  0.499
N  0.321  0.858  0.001
N  0.500  0.000  0.500
N  0.679  0.142  0.999
N  0.858  0.321  0.501

Symmetry   C2/c, No. 15
Total DFT energy (no corrections)   -233.1 eV per cell
Mass density   10.091 g/cm3

***

Density functional theory data (PBE) for crystalline Hf2Nb4Pb3N3 at its relaxed geometry.

Cell lengths 5.855, 5.855, 14.137 Å; angles 101.66, 101.66, 60.17 degrees
Sites, in units of the cell vectors:
Hf  0.026  0.848  0.582
Hf  0.152  0.974  0.918
Hf  0.848  0.026  0.082
Hf  0.974  0.152  0.418
Nb  0.191  0.375  0.074
Nb  0.326  0.457  0.426
Nb  0.375  0.191  0.574
Nb  0.457  0.326  0.926
Nb  0.543  0.674  0.074
Nb  0.625  0.809  0.426
Nb  0.674  0.543  0.574
Nb  0.809  0.625  0.926
Pb  0.079  0.263  0.747
Pb  0.263  0.079  0.247
Pb  0.427  0.573  0.750
Pb  0.573  0.427  0.250
Pb  0.737  0.921  0.753
Pb  0.921  0.737  0.253
N  0.000  0.500  0.500
N  0.152  0.696  0.000
N  0.304  0.848  0.500
N  0.500  0.000  0.000
N  0.696  0.152  0.500
N  0.848  0.304  0.000

Symmetry   C2/c, No. 15
Total DFT energy (no corrections)   -206.3 eV per cell
Mass density   11.309 g/cm3

***

Density functional theory data (PBE) for crystalline Hf4Nb2Pb3N3 at its relaxed geometry.

Cell lengths 5.879, 5.879, 14.294 Å; angles 101.72, 101.72, 59.96 degrees
Sites, in units of the cell vectors:
Hf  0.014  0.205  0.079
Hf  0.154  0.306  0.420
Hf  0.205  0.014  0.579
Hf  0.306  0.154  0.920
Hf  0.694  0.846  0.080
Hf  0.795  0.986  0.421
Hf  0.846  0.694  0.580
Hf  0.986  0.795  0.921
Nb  0.374  0.525  0.074
Nb  0.475  0.626  0.426
Nb  0.525  0.374  0.574
Nb  0.626  0.475  0.926
Pb  0.091  0.909  0.250
Pb  0.256  0.417  0.747
Pb  0.417  0.256  0.247
Pb  0.583  0.744  0.753
Pb  0.744  0.583  0.253
Pb  0.909  0.091  0.750
N  0.000  0.500  0.000
N  0.140  0.679  0.500
N  0.321  0.860  0.000
N  0.500  0.000  0.500
N  0.679  0.140  0.000
N  0.860  0.321  0.500

Symmetry   C2/c, No. 15
Total DFT energy (no corrections)   -209.4 eV per cell
Mass density   12.490 g/cm3

***

Density functional theory data (PBE) for crystalline Hf2Nb4Sb3N3 at its relaxed geometry.

Cell lengths 5.897, 5.897, 13.373 Å; angles 102.67, 102.67, 60.17 degrees
Sites, in units of the cell vectors:
Hf  0.028  0.853  0.588
Hf  0.147  0.972  0.912
Hf  0.853  0.028  0.088
Hf  0.972  0.147  0.412
Nb  0.193  0.378  0.080
Nb  0.322  0.455  0.419
Nb  0.378  0.193  0.580
Nb  0.455  0.322  0.919
Nb  0.545  0.678  0.081
Nb  0.622  0.807  0.420
Nb  0.678  0.545  0.581
Nb  0.807  0.622  0.920
Sb  0.081  0.266  0.749
Sb  0.266  0.081  0.249
Sb  0.431  0.569  0.750
Sb  0.569  0.431  0.250
Sb  0.734  0.919  0.751
Sb  0.919  0.734  0.251
N  0.000  0.500  0.500
N  0.153  0.695  0.000
N  0.305  0.847  0.500
N  0.500  0.000  0.000
N  0.695  0.153  0.500
N  0.847  0.305  0.000

Symmetry   C2/c, No. 15
Total DFT energy (no corrections)   -212.2 eV per cell
Mass density   9.667 g/cm3

***

Density functional theory data (PBE) for crystalline HfNbSi2N2 at its relaxed geometry.

Cell lengths 3.217, 3.217, 7.394 Å; angles 90.00, 90.00, 90.00 degrees
Sites, in units of the cell vectors:
Hf  0.000  0.000  0.000
Nb  0.500  0.500  0.653
Si  0.000  0.500  0.348
Si  0.500  0.000  0.348
N  0.000  0.000  0.716
N  0.500  0.500  0.953

Symmetry   P4mm, No. 99
Total DFT energy (no corrections)   -51.6 eV per cell
Mass density   7.715 g/cm3

***

Density functional theory data (PBE) for crystalline HfNbSnN at its relaxed geometry.

Cell lengths 3.282, 3.282, 14.027 Å; angles 90.00, 90.00, 120.00 degrees
Sites, in units of the cell vectors:
Hf  0.333  0.667  0.088
Hf  0.667  0.333  0.912
Nb  0.333  0.667  0.422
Nb  0.667  0.333  0.578
Sn  0.333  0.667  0.743
Sn  0.667  0.333  0.257
N  0.000  0.000  0.000
N  0.000  0.000  0.500

Symmetry   P-3m1, No. 164
Total DFT energy (no corrections)   -71.1 eV per cell
Mass density   10.255 g/cm3

***

Density functional theory data (PBE) for crystalline Hf4Nb2Sn3N3 at its relaxed geometry.

Cell lengths 5.673, 5.673, 14.532 Å; angles 101.24, 101.24, 60.11 degrees
Sites, in units of the cell vectors:
Hf  0.019  0.204  0.085
Hf  0.148  0.305  0.415
Hf  0.204  0.019  0.585
Hf  0.305  0.148  0.915
Hf  0.695  0.852  0.085
Hf  0.796  0.981  0.415
Hf  0.852  0.695  0.585
Hf  0.981  0.796  0.915
Nb  0.375  0.527  0.083
Nb  0.473  0.625  0.417
Nb  0.527  0.375  0.583
Nb  0.625  0.473  0.917
Sn  0.093  0.907  0.250
Sn  0.261  0.415  0.748
Sn  0.415  0.261  0.248
Sn  0.585  0.739  0.752
Sn  0.739  0.585  0.252
Sn  0.907  0.093  0.750
N  0.000  0.500  0.000
N  0.143  0.678  0.500
N  0.322  0.857  0.000
N  0.500  0.000  0.500
N  0.678  0.143  0.000
N  0.857  0.322  0.500

Symmetry   C2/c, No. 15
Total DFT energy (no corrections)   -215.2 eV per cell
Mass density   10.911 g/cm3

***

Density functional theory data (PBE) for crystalline Hf3Nb3W2N12 at its relaxed geometry.

Cell lengths 10.766, 10.766, 10.766 Å; angles 109.47, 109.47, 109.47 degrees
Sites, in units of the cell vectors:
Hf  0.125  0.250  0.375
Hf  0.125  0.375  0.750
Hf  0.250  0.375  0.125
Hf  0.250  0.875  0.625
Hf  0.375  0.125  0.250
Hf  0.375  0.750  0.125
Hf  0.625  0.250  0.875
Hf  0.625  0.875  0.750
Hf  0.750  0.125  0.375
Hf  0.750  0.625  0.875
Hf  0.875  0.625  0.250
Hf  0.875  0.750  0.625
Nb  0.125  0.750  0.875
Nb  0.125  0.875  0.250
Nb  0.250  0.125  0.875
Nb  0.250  0.625  0.375
Nb  0.375  0.250  0.625
Nb  0.375  0.625  0.750
Nb  0.625  0.375  0.250
Nb  0.625  0.750  0.375
Nb  0.750  0.375  0.625
Nb  0.750  0.875  0.125
Nb  0.875  0.125  0.750
Nb  0.875  0.250  0.125
W  0.000  0.000  0.000
W  0.000  0.000  0.500
W  0.000  0.500  0.000
W  0.000  0.500  0.500
W  0.500  0.000  0.000
W  0.500  0.000  0.500
W  0.500  0.500  0.000
W  0.500  0.500  0.500
N  0.040  0.216  0.125
N  0.040  0.325  0.916
N  0.084  0.625  0.409
N  0.084  0.960  0.675
N  0.091  0.716  0.675
N  0.091  0.875  0.416
N  0.125  0.040  0.216
N  0.125  0.584  0.909
N  0.175  0.216  0.591
N  0.175  0.460  0.584
N  0.216  0.125  0.040
N  0.216  0.591  0.175
N  0.284  0.325  0.909
N  0.284  0.460  0.375
N  0.325  0.909  0.284
N  0.325  0.916  0.040
N  0.375  0.284  0.460
N  0.375  0.591  0.916
N  0.409  0.084  0.625
N  0.409  0.825  0.784
N  0.416  0.091  0.875
N  0.416  0.825  0.540
N  0.460  0.375  0.284
N  0.460  0.584  0.175
N  0.540  0.416  0.825
N  0.540  0.625  0.716
N  0.584  0.175  0.460
N  0.584  0.909  0.125
N  0.591  0.175  0.216
N  0.591  0.916  0.375
N  0.625  0.409  0.084
N  0.625  0.716  0.540
N  0.675  0.084  0.960
N  0.675  0.091  0.716
N  0.716  0.540  0.625
N  0.716  0.675  0.091
N  0.784  0.409  0.825
N  0.784  0.875  0.960
N  0.825  0.540  0.416
N  0.825  0.784  0.409
N  0.875  0.416  0.091
N  0.875  0.960  0.784
N  0.909  0.125  0.584
N  0.909  0.284  0.325
N  0.916  0.040  0.325
N  0.916  0.375  0.591
N  0.960  0.675  0.084
N  0.960  0.784  0.875

Symmetry   Ia-3d, No. 230
Total DFT energy (no corrections)   -803.5 eV per cell
Mass density   9.335 g/cm3